1.
Here is crystalline BaCdSn2F8 at its relaxed geometry from the Alexandria database. Energies are from PBE.

Results
Calculated density   4.80 g cm⁻³
Total energy   -4.790 eV/atom
Formation energy without anion corrections   -31.7 eV per formula unit
Total moment   0.0 μB/f.u.

The structure in POSCAR format:
```
BaCdSn2F8
1.0
-0.3323 3.2109 2.8405
-6.1340 -0.7354 0.1136
0.7846 -5.4463 6.2483
F Sn Cd Ba
8 2 1 1
direct
0.5000 0.1979 0.0663
0.0000 0.8135 0.2166
0.0000 0.6873 0.7504
0.0000 0.1865 0.7834
0.5000 0.7490 0.5475
0.5000 0.2510 0.4525
0.5000 0.8021 0.9337
0.0000 0.3127 0.2496
0.5000 0.5407 0.7624
0.5000 0.4593 0.2376
0.0000 0.0000 0.0000
0.0000 0.0000 0.5000
```

2.
Here is crystalline BaSrCdF6 at its relaxed geometry from the Alexandria database. Energies are from PBE.

Results
Calculated density   4.13 g cm⁻³
Total energy   -5.027 eV/atom
Formation energy without anion corrections   -29.5 eV per formula unit
Total moment   0.0 μB/f.u.

The structure in POSCAR format:
```
BaSrCdF6
1.0
6.2255 0.0000 0.0000
-3.1127 5.3914 0.0000
0.0000 0.0000 10.8204
F Ba Sr Cd
12 2 2 2
direct
0.9812 0.6411 0.3611
0.6599 0.6411 0.1389
0.3401 0.3589 0.8611
0.3401 0.9812 0.6389
0.6411 0.6599 0.6389
0.6599 0.0188 0.3611
0.0188 0.3589 0.6389
0.3589 0.3401 0.3611
0.3589 0.0188 0.1389
0.9812 0.3401 0.1389
0.6411 0.9812 0.8611
0.0188 0.6599 0.8611
0.0000 0.0000 0.5000
0.0000 0.0000 0.0000
0.3333 0.6667 0.2500
0.6667 0.3333 0.7500
0.3333 0.6667 0.7500
0.6667 0.3333 0.2500
```